Compound: Rb3FeF6
Source: Alexandria
Functional: PBE with a Hubbard U
Structure: relaxed

Calculated values
The calculation puts the total DFT energy (no corrections) at -4.3228 eV per atom. The density is 3.78 Mg/m³. For the magnetic moment, the calculation gives 0.100 μB per atom. The calculation puts the density of states at the Fermi level at 1.98 states/eV/cell.

The structure in POSCAR format:
```
Rb3FeF6
1.0
6.424 0.000 0.000
3.212 5.563 0.000
3.212 1.854 5.245
F Rb Fe
6 3 1
Direct
0.209 0.209 0.791
0.791 0.209 0.209
0.791 0.791 0.209
0.791 0.209 0.791
0.209 0.791 0.791
0.209 0.791 0.209
0.500 0.500 0.500
0.750 0.750 0.750
0.250 0.250 0.250
0.000 0.000 0.000
```